Record 1
Computed, not measured: a crystal of KFeCl relaxed with PBEsol at the meta-GGA SCAN level of DFT.

The structure in CIF format:
```
data_KFeCl
_chemical_formula_sum 'K1 Fe1 Cl1'
_space_group_name_H-M_alt 'P 1'
_space_group_IT_number 1
_cell_length_a 3.3892
_cell_length_b 3.3892
_cell_length_c 6.6577
_cell_angle_alpha 90.00
_cell_angle_beta 90.00
_cell_angle_gamma 120.00
loop_
_space_group_symop_operation_xyz
'x,y,z'
loop_
_atom_site_label
_atom_site_fract_x
_atom_site_fract_y
_atom_site_fract_z
K1 0.0000 0.0000 0.0000
Fe1 0.3333 0.6667 0.4255
Cl1 0.6667 0.3333 0.6490
```

Results
The crystal system is trigonal. As for the space-group type: No. 156. The energy relative to the elements, uncorrected is -0.066 eV per atom.

=====

Record 2
Computed, not measured: a crystal of KFeCl relaxed with PBEsol at the meta-GGA SCAN level of DFT.

The structure in CIF format:
```
data_KFeCl
_chemical_formula_sum 'K1 Fe1 Cl1'
_space_group_name_H-M_alt 'P 1'
_space_group_IT_number 1
_cell_length_a 6.8623
_cell_length_b 6.7136
_cell_length_c 3.2200
_cell_angle_alpha 78.87
_cell_angle_beta 73.72
_cell_angle_gamma 27.41
loop_
_space_group_symop_operation_xyz
'x,y,z'
loop_
_atom_site_label
_atom_site_fract_x
_atom_site_fract_y
_atom_site_fract_z
K1 0.0000 0.0000 0.0000
Fe1 0.2848 0.2848 0.7152
Cl1 0.6735 0.6735 0.3265
```

Results
The crystal system is orthorhombic. As for the space-group type: No. 42. The energy relative to the elements, uncorrected is -0.125 eV per atom.

=====

| no. | N(E_F) (states/eV/atom) |
| --- | --- |
| 1 | 1.125 |
| 2 | 0.400 |